1.
Ca2Mo2H: relaxed, GGA-PBE.

Unit cell a=5.970 b=5.970 c=5.569 alpha=90.00 beta=90.00 gamma=90.00
Space group P4/mbm (No. 127)
One atom of each set of equivalent atoms:
Ca  0.181  0.319  0.000 x4
Mo  0.132  0.632  0.500 x4
H  0.000  0.000  0.000 x2

Properties
total moment	0.00	Bohr magnetons per cell
energy above the lowest structure with this stoichiometry	0.373	eV/atom



2.
KHf2As: relaxed, GGA-PBE.

Unit cell a=5.331 b=5.331 c=19.082 alpha=90.00 beta=90.00 gamma=90.00
Space group I4_1/amd (No. 141, origin choice 2)
One atom of each set of equivalent atoms:
K  0.000  0.250  0.375 x4
Hf  0.000  0.000  0.000 x8
As  0.000  0.250  0.875 x4

Properties
ΔH_f (0 K)	2.4	eV/f.u.
total moment	0.00	Bohr magnetons per cell



3.
AlSi2Ni: relaxed, GGA-PBE.

Unit cell a=2.881 b=3.754 c=5.155 alpha=90.00 beta=101.72 gamma=90.00
Space group Pm (No. 6)
One atom of each set of equivalent atoms:
Al  0.000  0.000  0.000 x1
Si  0.403  0.500  0.687 x1
Si  0.755  0.000  0.470 x1
Ni  0.559  0.500  0.154 x1

Properties
uncorrected formation energy	-0.0129	eV per atom
total moment	0.00	Bohr magnetons per cell



4.
UPa2Tl: relaxed, GGA-PBE.

Unit cell a=3.6840 b=3.6840 c=25.5051 alpha=90.00 beta=90.00 gamma=120.00
Space group R-3m (No. 166, hexagonal axes)
One atom of each set of equivalent atoms:
U  0.0000  0.0000  0.0000 x3
Pa  0.0000  0.0000  0.2683 x6
Tl  0.0000  0.0000  0.5000 x3

Properties
ΔH_f (0 K)	1.3	eV/f.u.
total moment	0.00	Bohr magnetons per cell
energy above the lowest structure with this stoichiometry	0.061	eV/atom



5.
AlCdRu2: relaxed, GGA-PBE.

Unit cell a=3.011 b=4.652 c=8.840 alpha=90.00 beta=90.00 gamma=90.00
Space group Immm (No. 71)
One atom of each set of equivalent atoms:
Al  0.000  0.000  0.000 x2
Cd  0.000  0.000  0.500 x2
Ru  0.000  0.500  0.276 x4

Properties
ΔH_f (0 K)	0.3	eV/f.u.
total moment	0.00	Bohr magnetons per cell
energy above the lowest structure with this stoichiometry	0.147	eV/atom



6.
CrFe2Ni6: relaxed, GGA-PBE.

Unit cell a=3.533 b=10.630 c=10.665 alpha=90.00 beta=90.00 gamma=90.00
Space group Fmmm (No. 69)
One atom of each set of equivalent atoms:
Cr  0.000  0.000  0.000 x4
Fe  0.000  0.164  0.500 x8
Ni  0.000  0.000  0.334 x8
Ni  0.000  0.167  0.165 x16

Properties
ΔH_f (0 K)	-0.4	eV/f.u.
total moment	21.14	Bohr magnetons per cell
energy above the lowest structure with this stoichiometry	0.000	eV/atom